(1)
{"formula": "Ni2PtAu", "functional": "PBE-GGA", "state": "optimized geometry", "magmom_total_mub_per_fu": 0.00, "ef_ev_per_atom": 0.3999, "relative_energy_mev_per_atom": 405, "cell": [[-1.890, 1.890, 8.694], [1.890, -1.890, 8.694], [1.890, 1.890, -8.694]], "species": ["Ni", "Ni", "Ni", "Ni", "Pt", "Pt", "Au", "Au"], "frac_coords": [[0.099, 0.625, 0.974], [0.375, 0.349, 0.474], [0.651, 0.125, 0.026], [0.875, 0.901, 0.526], [0.000, 0.000, 0.000], [0.750, 0.250, 0.500], [0.250, 0.750, 0.500], [0.500, 0.500, 0.000]]}

=====

(2)
{"formula": "NiPtAu", "functional": "PBE-GGA", "state": "optimized geometry", "magmom_total_mub_per_fu": 0.96, "ef_ev_per_atom": 0.0458, "relative_energy_mev_per_atom": 15, "cell": [[2.752, 0.000, 0.000], [0.000, 4.111, 0.000], [-1.373, 0.000, 8.013]], "species": ["Ni", "Ni", "Pt", "Pt", "Au", "Au"], "frac_coords": [[0.038, 0.250, 0.080], [0.962, 0.750, 0.920], [0.400, 0.250, 0.797], [0.600, 0.750, 0.203], [0.205, 0.250, 0.407], [0.795, 0.750, 0.593]]}

=====

(3)
{"formula": "NiPt2Au", "functional": "PBE-GGA", "state": "optimized geometry", "magmom_total_mub_per_fu": 1.16, "ef_ev_per_atom": 0.0606, "relative_energy_mev_per_atom": 103, "cell": [[1.392, -2.373, 0.000], [1.392, 2.373, 0.000], [0.000, 0.000, 9.415]], "species": ["Ni", "Pt", "Pt", "Au"], "frac_coords": [[0.000, 0.000, 0.000], [0.500, 0.500, 0.228], [0.500, 0.500, 0.772], [0.000, 0.000, 0.500]]}

=====

(4)
{"formula": "Ni2PtAu", "functional": "PBE-GGA", "state": "optimized geometry", "magmom_total_mub_per_fu": 1.51, "ef_ev_per_atom": 0.0645, "relative_energy_mev_per_atom": 70, "cell": [[2.724, 0.000, 0.000], [0.000, 4.148, 0.000], [-1.351, 0.000, 4.978]], "species": ["Ni", "Ni", "Pt", "Au"], "frac_coords": [[0.000, 0.000, 0.000], [0.139, 0.500, 0.267], [0.731, 0.000, 0.458], [0.397, 0.500, 0.792]]}

=====

(5)
{"formula": "NiPt2Au", "functional": "PBE-GGA", "state": "optimized geometry", "magmom_total_mub_per_fu": 1.29, "ef_ev_per_atom": 0.0438, "relative_energy_mev_per_atom": 87, "cell": [[2.800, 0.000, 0.000], [0.000, 3.824, 0.000], [-0.017, 0.000, 5.714]], "species": ["Ni", "Pt", "Pt", "Au"], "frac_coords": [[0.000, 0.000, 0.000], [0.000, 0.000, 0.472], [0.499, 0.500, 0.222], [0.501, 0.500, 0.745]]}

=====

(6)
{"formula": "NiPtAu", "functional": "PBE-GGA", "state": "optimized geometry", "magmom_total_mub_per_fu": 0.96, "ef_ev_per_atom": 0.0541, "relative_energy_mev_per_atom": 23, "cell": [[2.806, 0.000, 0.000], [-1.403, 2.430, 0.000], [0.000, 0.000, 6.663]], "species": ["Ni", "Pt", "Au"], "frac_coords": [[0.000, 0.000, 0.000], [0.667, 0.333, 0.696], [0.333, 0.667, 0.325]]}